Here is UMn2SbO8 after structural relaxation from Alexandria via LeMat-Bulk. Energies are from GGA+U.

a b c (Å): 4.6379 4.6374 6.5621
angles (deg): 90.00 90.00 91.00
Last column: nearest neighbours and their distance in Å.
Fractional positions:
U 0.0000 0.0000 0.5000  6 O 2.04-2.19
Mn 0.5000 0.5000 0.7606  6 O 1.97-2.09
Mn 0.5000 0.5000 0.2394  6 O 1.97-2.09
Sb 0.0000 0.0000 0.0000  6 O 2.01-2.04
O 0.2019 0.7978 0.2357  1 Mn 1.97, 1 Sb 2.04, 1 U 2.19
O 0.6906 0.6909 0.0000  2 Mn 2.00, 1 Sb 2.01
O 0.7981 0.2022 0.2358  1 Mn 1.97, 1 Sb 2.04, 1 U 2.19
O 0.7981 0.2022 0.7643  1 Mn 1.97, 1 Sb 2.04, 1 U 2.19
O 0.3094 0.3091 0.0000  2 Mn 2.00, 1 Sb 2.01
O 0.2019 0.7978 0.7642  1 Mn 1.97, 1 Sb 2.04, 1 U 2.19
O 0.6859 0.6862 0.5000  1 U 2.04, 2 Mn 2.09
O 0.3141 0.3138 0.5000  1 U 2.04, 2 Mn 2.09

Calculated values
SG = No. 65
crystal system = orthorhombic
uncorrected energy = -7.584 eV per atom